1) Entry from Alexandria via LeMat-Bulk: an optimized crystal structure of AcAs2Au3 (GGA-PBE).

Results
The value obtained for the total magnetic moment is 0.00 μB/cell.

Unit cell a=16.7410 b=4.8615 c=7.5251 alpha=90.00 beta=114.98 gamma=90.00
Space group C2/m (No. 12)
Inequivalent atoms, fractional coordinates:
Ac  0.1490  0.0000  0.0833
As  0.0126  0.5000  0.1844
As  0.1777  0.0000  0.6742
Au  0.0320  0.0000  0.3439
Au  0.1410  0.5000  0.7650
Au  0.1876  0.5000  0.4050

=====

2) Entry from Alexandria via LeMat-Bulk: an optimized crystal structure of AcAs2Au3 (GGA-PBE).

Results
The value obtained for the total magnetic moment is 0.00 μB/cell.

Unit cell a=16.8218 b=4.5529 c=8.0884 alpha=90.00 beta=115.95 gamma=90.00
Space group C2/m (No. 12)
Inequivalent atoms, fractional coordinates:
Ac  0.1434  0.0000  0.2420
As  0.0067  0.5000  0.2072
As  0.2053  0.0000  0.6967
Au  0.0656  0.0000  0.7783
Au  0.1268  0.5000  0.5472
Au  0.1807  0.5000  0.9661

=====

Stability check: which of them is least stable? 1).

=====

1) Entry from Alexandria via LeMat-Bulk: an optimized crystal structure of AcAs2Au2 (GGA-PBE).

Results
The value obtained for the total magnetic moment is 0.00 μB/cell.

Unit cell a=8.6107 b=5.1177 c=11.0524 alpha=90.00 beta=90.00 gamma=90.00
Space group Pnma (No. 62)
Inequivalent atoms, fractional coordinates:
Ac  0.1886  0.2500  0.1630
As  0.0336  0.2500  0.4253
As  0.0672  0.2500  0.8805
Au  0.0098  0.2500  0.6572
Au  0.1732  0.7500  0.9702

=====

2) Entry from Alexandria via LeMat-Bulk: an optimized crystal structure of AcAs2Au2 (GGA-PBE).

Results
The value obtained for the total magnetic moment is 0.00 μB/cell.

Unit cell a=6.4999 b=12.1900 c=6.8653 alpha=90.00 beta=115.87 gamma=90.00
Space group C2/c (No. 15)
Inequivalent atoms, fractional coordinates:
Ac  0.0000  0.1057  0.2500
As  0.0000  0.1519  0.7500
As  0.0000  0.4572  0.2500
Au  0.0356  0.3223  0.9847

=====

Stability check: which of them is least stable? 2).

=====

1) Entry from Alexandria via LeMat-Bulk: an optimized crystal structure of AcBeAs2 (GGA-PBE).

Results
The value obtained for the total magnetic moment is 0.00 μB/cell.

Unit cell a=4.6543 b=4.6543 c=4.2047 alpha=90.00 beta=90.00 gamma=90.00
Space group P4/mmm (No. 123)
Inequivalent atoms, fractional coordinates:
Ac  0.0000  0.0000  0.0000
Be  0.5000  0.5000  0.0000
As  0.0000  0.5000  0.5000

=====

2) Entry from Alexandria via LeMat-Bulk: an optimized crystal structure of AcBeAs2 (GGA-PBE).

Results
The value obtained for the total magnetic moment is 0.00 μB/cell.

Unit cell a=3.6717 b=3.6717 c=6.4416 alpha=90.00 beta=90.00 gamma=90.00
Space group P4/mmm (No. 123)
Inequivalent atoms, fractional coordinates:
Ac  0.0000  0.0000  0.0000
Be  0.0000  0.0000  0.5000
As  0.5000  0.5000  0.3081

=====

Stability check: which of them is least stable? 2).